1.
Density functional theory data (PBE) for crystalline SrIr3Br at its relaxed geometry. Values from VASP.

```
&SYSTEM
  ibrav = 0, nat = 5, ntyp = 3
/
ATOMIC_SPECIES
Sr 87.62 Sr.upf
Ir 192.22 Ir.upf
Br 79.90 Br.upf
CELL_PARAMETERS angstrom
4.7517 0.0000 0.0000
0.0000 4.7517 0.0000
0.0000 0.0000 4.7517
ATOMIC_POSITIONS crystal
Sr 0.0000 0.0000 0.0000
Ir 0.0000 0.5000 0.5000
Ir 0.5000 0.0000 0.5000
Ir 0.5000 0.5000 0.0000
Br 0.5000 0.5000 0.5000
```

Computed properties:
Space-group type: Pm-3m
Raw formation energy, eV per atom: 1.117
ΔE to the lowest computed polymorph, meV per atom: 0

2.
Density functional theory data (PBE) for crystalline Mg2Al7 at its relaxed geometry. Values from VASP.

```
&SYSTEM
  ibrav = 0, nat = 9, ntyp = 2
/
ATOMIC_SPECIES
Mg 24.30 Mg.upf
Al 26.98 Al.upf
CELL_PARAMETERS angstrom
5.1257 0.0000 0.0000
-2.5628 4.4390 0.0000
0.0000 0.0000 7.0413
ATOMIC_POSITIONS crystal
Mg 0.3333 0.6667 0.0000
Mg 0.6667 0.3333 0.0000
Al 0.0000 0.0000 0.0000
Al 0.0000 0.3299 0.6595
Al 0.0000 0.6701 0.3405
Al 0.3299 0.0000 0.6595
Al 0.3299 0.3299 0.3405
Al 0.6701 0.0000 0.3405
Al 0.6701 0.6701 0.6595
```

Computed properties:
Space-group type: P-31m
Formation energy from the elements, meV/atom: 27

3.
Density functional theory data (PBE) for crystalline CeAl2Ag3 at its relaxed geometry. Values from VASP.

```
&SYSTEM
  ibrav = 0, nat = 12, ntyp = 3
/
ATOMIC_SPECIES
Ce 140.12 Ce.upf
Al 26.98 Al.upf
Ag 107.87 Ag.upf
CELL_PARAMETERS angstrom
5.0780 -4.3377 0.0000
5.0780 4.3377 0.0000
0.0000 0.0000 5.5791
ATOMIC_POSITIONS crystal
Ce 0.1675 0.8325 0.7500
Ce 0.8325 0.1675 0.2500
Al 0.2783 0.2783 0.0000
Al 0.2783 0.2783 0.5000
Al 0.7217 0.7217 0.0000
Al 0.7217 0.7217 0.5000
Ag 0.0458 0.6098 0.2500
Ag 0.3902 0.9542 0.2500
Ag 0.4639 0.5361 0.2500
Ag 0.5361 0.4639 0.7500
Ag 0.6098 0.0458 0.7500
Ag 0.9542 0.3902 0.7500
```

Computed properties:
Space-group type: Cmcm
Formation energy from the elements, meV/atom: -188

4.
Density functional theory data (PBE) for crystalline CsRb2AgPd at its relaxed geometry. Values from VASP.

```
&SYSTEM
  ibrav = 0, nat = 5, ntyp = 4
/
ATOMIC_SPECIES
Cs 132.91 Cs.upf
Rb 85.47 Rb.upf
Ag 107.87 Ag.upf
Pd 106.42 Pd.upf
CELL_PARAMETERS angstrom
6.4523 0.0000 0.0000
0.0000 6.4523 0.0000
0.0000 0.0000 6.6764
ATOMIC_POSITIONS crystal
Cs 0.0000 0.0000 0.0000
Rb 0.0000 0.5000 0.5000
Rb 0.5000 0.0000 0.5000
Ag 0.5000 0.5000 0.0000
Pd 0.0000 0.0000 0.5000
```

Computed properties:
Space-group type: P4/mmm
Formation energy from the elements, meV/atom: 148
ΔE to the lowest computed polymorph, meV per atom: 9

5.
Density functional theory data (PBE) for crystalline ErI3Br at its relaxed geometry. Values from VASP.

```
&SYSTEM
  ibrav = 0, nat = 10, ntyp = 3
/
ATOMIC_SPECIES
Er 167.26 Er.upf
I 126.90 I.upf
Br 79.90 Br.upf
CELL_PARAMETERS angstrom
-6.4743 3.6726 4.3453
6.4743 -3.6726 4.3453
6.4743 3.6726 -4.3453
ATOMIC_POSITIONS crystal
Er 0.2361 0.2500 0.4861
Er 0.7639 0.7500 0.5139
I 0.2305 0.0139 0.2457
I 0.2305 0.4848 0.7166
I 0.2301 0.5118 0.2183
I 0.2935 0.0118 0.7817
I 0.7682 0.5139 0.2834
I 0.7682 0.9848 0.7543
Br 0.7274 0.4903 0.7371
Br 0.7532 0.9903 0.2629
```

Computed properties:
Space-group type: Ima2
Raw formation energy, eV per atom: -1.094

6.
Density functional theory data (PBE) for crystalline PrSmZnAu at its relaxed geometry. Values from VASP.

```
&SYSTEM
  ibrav = 0, nat = 4, ntyp = 4
/
ATOMIC_SPECIES
Pr 140.91 Pr.upf
Sm 150.36 Sm.upf
Zn 65.41 Zn.upf
Au 196.97 Au.upf
CELL_PARAMETERS angstrom
3.7256 0.0000 0.0000
0.0000 3.7256 0.0000
0.0000 0.0000 7.2429
ATOMIC_POSITIONS crystal
Pr 0.0000 0.0000 0.0000
Sm 0.0000 0.0000 0.5054
Zn 0.5000 0.5000 0.7443
Au 0.5000 0.5000 0.2678
```

Computed properties:
Space-group type: P4mm
Formation energy from the elements, meV/atom: -544
ΔE to the lowest computed polymorph, meV per atom: 0

| no. | spin magnetization (Bohr magnetons per cell) |
| --- | --- |
| 1 | 0.0 |
| 2 | 0.0 |
| 3 | 2.2 |
| 4 | 0.0 |
| 5 | 0.0 |
| 6 | 0.0 |